1.
4
Lattice="0.000 3.731 3.731 3.731 0.000 3.731 3.731 3.731 0.000" Properties=species:S:1:pos:R:3 comment="LaTbCdCu | the Alexandria database | PBE-GGA | optimized geometry" magmom_total_mub_per_cell=0.000 space_group="No. 216" formation_enthalpy_0k_ev_per_atom=-0.192 dos_ef_per_ev_fu=2.953 pbc="T T T"
La 0.000 0.000 0.000
Tb 3.731 3.731 3.731
Cd 1.866 1.866 1.866
Cu 5.597 5.597 5.597



2.
4
Lattice="0.000 3.648 3.648 3.648 0.000 3.648 3.648 3.648 0.000" Properties=species:S:1:pos:R:3 comment="LaTlCdCu | the Alexandria database | PBE-GGA | optimized geometry" magmom_total_mub_per_cell=0.000 space_group="No. 216" formation_enthalpy_0k_ev_per_atom=-0.185 dos_ef_per_ev_fu=1.835 pbc="T T T"
La 0.000 0.000 0.000
Tl 1.824 1.824 1.824
Cd 3.648 3.648 3.648
Cu 5.472 5.472 5.472



3.
5
Lattice="4.675 0.000 0.000 0.000 4.675 0.000 0.000 0.000 5.318" Properties=species:S:1:pos:R:3 comment="LaCdCuW2 | the Alexandria database | PBE-GGA | optimized geometry" magmom_total_mub_per_cell=0.000 space_group="No. 123" formation_enthalpy_0k_ev_per_atom=1.366 dos_ef_per_ev_fu=6.024 pbc="T T T"
La 0.000 0.000 0.000
Cd 2.338 2.338 0.000
Cu 0.000 0.000 2.659
W 0.000 2.338 2.659
W 2.338 0.000 2.659



4.
5
Lattice="5.627 0.000 0.000 0.000 5.627 0.000 0.000 0.000 5.932" Properties=species:S:1:pos:R:3 comment="LaY2CdCu | the Alexandria database | PBE-GGA | optimized geometry" magmom_total_mub_per_cell=0.287 space_group="No. 123" formation_enthalpy_0k_ev_per_atom=0.694 dos_ef_per_ev_fu=7.330 pbc="T T T"
La 0.000 0.000 0.000
Y 0.000 2.814 2.966
Y 2.814 0.000 2.966
Cd 0.000 0.000 2.966
Cu 2.814 2.814 0.000



5.
8
Lattice="2.679 1.547 8.709 -2.679 1.547 8.709 0.000 -3.094 8.709" Properties=species:S:1:pos:R:3 comment="La4Zn2CdCu | the Alexandria database | PBE-GGA | optimized geometry" magmom_total_mub_per_cell=0.000 space_group="No. 166" formation_enthalpy_0k_ev_per_atom=-0.263 dos_ef_per_ev_fu=8.921 pbc="T T T"
La 0.000 0.000 3.092
La 0.000 0.000 9.638
La 0.000 0.000 16.489
La 0.000 0.000 23.036
Zn 0.000 0.000 6.384
Zn 0.000 0.000 19.743
Cd 0.000 0.000 13.064
Cu 0.000 0.000 0.000



6.
18
Lattice="4.023 2.323 7.371 -4.023 2.323 7.371 0.000 -4.645 7.371" Properties=species:S:1:pos:R:3 comment="La2Zn12CdCu3 | the Alexandria database | PBE-GGA | optimized geometry" magmom_total_mub_per_cell=0.000 space_group="No. 166" formation_enthalpy_0k_ev_per_atom=0.205 dos_ef_per_ev_fu=9.890 pbc="T T T"
La 0.000 0.000 2.305
La 0.000 0.000 19.808
Zn -2.622 -1.514 9.744
Zn 0.000 -2.269 6.976
Zn -1.965 1.134 6.976
Zn 0.000 -3.027 12.369
Zn -2.622 1.514 12.369
Zn -1.965 -1.134 15.137
Zn 1.965 1.134 6.976
Zn 2.622 -1.514 9.744
Zn 0.000 3.027 9.744
Zn 1.965 -1.134 15.137
Zn 0.000 2.269 15.137
Zn 2.622 1.514 12.369
Cd 0.000 0.000 11.057
Cu -2.011 -1.161 7.371
Cu -2.011 1.161 14.742
Cu 0.000 2.323 7.371



7.
4
Lattice="2.730 0.000 0.000 0.000 4.153 0.000 -1.193 0.000 5.150" Properties=species:S:1:pos:R:3 comment="LiCdCu2 | the Alexandria database | PBE-GGA | optimized geometry" magmom_total_mub_per_cell=0.000 space_group="No. 10" formation_enthalpy_0k_ev_per_atom=0.012 dos_ef_per_ev_fu=1.552 pbc="T T T"
Li 0.000 0.000 0.000
Cd -0.597 0.000 2.575
Cu 0.881 2.076 1.183
Cu 0.656 2.076 3.967



8.
3
Lattice="4.405 0.000 0.000 -2.203 3.815 0.000 0.000 0.000 2.792" Properties=species:S:1:pos:R:3 comment="LiCdCu | the Alexandria database | PBE-GGA | optimized geometry" magmom_total_mub_per_cell=0.000 space_group="No. 156" formation_enthalpy_0k_ev_per_atom=-0.067 dos_ef_per_ev_fu=1.649 pbc="T T T"
Li 0.000 0.000 0.000
Cd 2.203 1.272 1.617
Cu 0.000 2.543 0.394



9.
5
Lattice="-1.860 1.860 5.874 1.860 -1.860 5.874 1.860 1.860 -5.874" Properties=species:S:1:pos:R:3 comment="Li2CdCu2 | the Alexandria database | PBE-GGA | optimized geometry" magmom_total_mub_per_cell=0.000 space_group="No. 139" formation_enthalpy_0k_ev_per_atom=0.129 dos_ef_per_ev_fu=1.796 pbc="T T T"
Li 1.860 0.000 2.937
Li 0.000 1.860 2.937
Cd 0.000 0.000 0.000
Cu 0.000 0.000 4.702
Cu 0.000 0.000 7.046



10.
3
Lattice="0.000 3.079 3.079 3.079 0.000 3.079 3.079 3.079 0.000" Properties=species:S:1:pos:R:3 comment="LiCdCu | the Alexandria database | PBE-GGA | optimized geometry" magmom_total_mub_per_cell=0.000 space_group="No. 216" formation_enthalpy_0k_ev_per_atom=0.077 dos_ef_per_ev_fu=1.692 pbc="T T T"
Li 0.000 0.000 0.000
Cd 3.079 3.079 3.079
Cu 4.619 4.619 4.619



11.
4
Lattice="2.750 -3.870 0.000 2.750 3.870 0.000 0.000 0.000 2.801" Properties=species:S:1:pos:R:3 comment="LiCdCu2 | the Alexandria database | PBE-GGA | optimized geometry" magmom_total_mub_per_cell=0.000 space_group="No. 65" formation_enthalpy_0k_ev_per_atom=0.015 dos_ef_per_ev_fu=1.222 pbc="T T T"
Li 0.000 0.000 0.000
Cd 2.750 0.000 0.000
Cu 1.375 1.935 1.400
Cu 1.375 -1.935 1.400



12.
8
Lattice="-3.775 3.775 2.809 3.775 -3.775 2.809 3.775 3.775 -2.809" Properties=species:S:1:pos:R:3 comment="LiCd2Cu | the Alexandria database | PBE-GGA | optimized geometry" magmom_total_mub_per_cell=0.000 space_group="No. 122" formation_enthalpy_0k_ev_per_atom=0.107 dos_ef_per_ev_fu=1.104 pbc="T T T"
Li 0.000 0.000 0.000
Li 0.000 3.775 1.404
Cd 1.887 2.083 -0.702
Cd 5.466 1.887 0.702
Cd 1.887 1.692 2.106
Cd -1.692 1.887 3.511
Cu 3.775 0.000 1.404
Cu 0.000 0.000 2.809